{
  "formula": "ScNi2Pt2",
  "functional": "GGA-PBE",
  "state": "optimized geometry",
  "cell": [[7.094, 0.000, 0.000], [0.000, 7.094, 0.000], [0.000, 0.000, 2.996]],
  "species": ["Sc", "Sc", "Ni", "Ni", "Ni", "Ni", "Pt", "Pt", "Pt", "Pt"],
  "fractional_positions": [[0.000, 0.000, 0.000], [0.500, 0.500, 0.000], [0.160, 0.660, 0.500], [0.660, 0.840, 0.500], [0.840, 0.340, 0.500], [0.340, 0.160, 0.500], [0.362, 0.862, 0.000], [0.862, 0.638, 0.000], [0.638, 0.138, 0.000], [0.138, 0.362, 0.000]],
  "spacegroup": "P4/mbm",
  "volume_a3_per_cell": 150.7,
  "formation_enthalpy_0k_ev_per_fu": -1.99
}